Entry 1:
Below is a relaxed Na2O2F crystal, with properties calculated at the PBE-GGA level.

Calculated values
For the electronic total energy, the calculation gives -19.81 eV/cell. The raw formation energy comes out at -5.388 eV/f.u.

Lattice parameters (Å, degrees): 6.7959 6.7959 6.7959 155.32 155.32 35.19
With the nearest neighbours (Å) after each atom.
Positions (direct):
Na  0.1059  0.1059  0.0000  4 O 2.37, 4 F 2.47
Na  0.8941  0.8941  0.0000  4 O 2.37, 4 F 2.47
O  0.2500  0.7500  0.5000  4 O 2.05
O  0.7500  0.2500  0.5000  4 O 2.05
F  0.5000  0.5000  0.0000  8 Na 2.47

=====

Entry 2:
Below is a relaxed NaOF crystal, with properties calculated at the PBE-GGA level.

Calculated values
As for the energy above the lowest structure with this stoichiometry: 0.0005 eV/atom. For the electronic total energy, the calculation gives -26.81 eV/cell. The raw formation energy comes out at -5.255 eV/f.u.

Lattice parameters (Å, degrees): 3.2412 3.2474 9.0654 83.04 89.13 89.90
With the nearest neighbours (Å) after each atom.
Positions (direct):
Na  0.2422  0.2049  0.1296  5 F 2.29-2.36
Na  0.7578  0.7951  0.8704  5 F 2.29-2.36
O  0.0707  0.9507  0.4412  1 O 1.23
O  0.9293  0.0493  0.5588  1 O 1.23
F  0.2588  0.2967  0.8679  5 Na 2.29-2.36
F  0.7412  0.7033  0.1321  5 Na 2.29-2.36

=====

Entry 3:
Below is a relaxed Na2OF crystal, with properties calculated at the PBE-GGA level.

Calculated values
As for the energy above the lowest structure with this stoichiometry: 0.0732 eV/atom. For the electronic total energy, the calculation gives -31.71 eV/cell. The raw formation energy comes out at -6.388 eV/f.u.

Lattice parameters (Å, degrees): 5.5178 5.5178 5.5178 114.58 114.58 99.68
With the nearest neighbours (Å) after each atom.
Positions (direct):
Na  0.1111  0.1250  0.4861  2 F 2.24, 2 O 2.34
Na  0.3750  0.8889  0.0139  2 F 2.24, 2 O 2.34
Na  0.6389  0.6250  0.5139  2 F 2.24, 2 O 2.34
Na  0.8750  0.3611  0.9861  2 F 2.24, 2 O 2.34
O  0.2500  0.7500  0.5000  4 Na 2.34
O  0.5000  0.5000  0.0000  4 Na 2.34
F  0.0000  0.0000  0.0000  4 Na 2.24
F  0.7500  0.2500  0.5000  4 Na 2.24

=====

Entry 4:
Below is a relaxed Na2O2F crystal, with properties calculated at the PBE-GGA level.

Calculated values
For the electronic total energy, the calculation gives -21.45 eV/cell. The raw formation energy comes out at -7.021 eV/f.u.

Lattice parameters (Å, degrees): 4.5596 4.5596 4.5596 122.98 122.98 84.90
With the nearest neighbours (Å) after each atom.
Positions (direct):
Na  0.2500  0.7500  0.5000  4 O 2.40
Na  0.7500  0.2500  0.5000  4 O 2.40
O  0.1003  0.1003  0.0000  1 O 1.35
O  0.8997  0.8997  0.0000  1 O 1.35
F  0.5000  0.5000  0.0000  2 O 2.69, 8 Na 2.75

=====

Entry 5:
Below is a relaxed NaOF2 crystal, with properties calculated at the PBE-GGA level.

Calculated values
As for the energy above the lowest structure with this stoichiometry: 0.2951 eV/atom. For the electronic total energy, the calculation gives -25.39 eV/cell. The raw formation energy comes out at -2.675 eV/f.u.

Lattice parameters (Å, degrees): 6.8509 6.8509 6.8509 144.89 144.89 50.51
With the nearest neighbours (Å) after each atom.
Positions (direct):
Na  0.0000  0.0000  0.0000  4 F 2.29
Na  0.7500  0.2500  0.5000  4 F 2.29
O  0.2500  0.7500  0.5000  4 F 2.00
O  0.5000  0.5000  0.0000  4 F 2.00
F  0.1967  0.6250  0.0717  2 O 2.00
F  0.3750  0.4467  0.5717  2 O 2.00
F  0.5533  0.1250  0.9283  2 O 2.00
F  0.8750  0.8033  0.4283  2 O 2.00

=====

Entry 6:
Below is a relaxed Na2O2F crystal, with properties calculated at the PBE-GGA level.

Calculated values
For the electronic total energy, the calculation gives -43.43 eV/cell. The raw formation energy comes out at -7.289 eV/f.u.

Lattice parameters (Å, degrees): 5.9065 5.9065 7.8147 90.00 90.00 149.37
With the nearest neighbours (Å) after each atom.
Positions (direct):
Na  0.0060  0.9940  0.5000  2 F 2.32, 3 O 2.54-2.59
Na  0.1929  0.8071  0.2430  4 O 2.27-2.52, 2 F 2.30
Na  0.8071  0.1929  0.7430  4 O 2.27-2.52, 2 F 2.30
Na  0.9940  0.0060  0.0000  2 F 2.32, 3 O 2.54-2.59
O  0.2103  0.7897  0.9209  1 O 1.36
O  0.3130  0.6870  0.0103  1 O 1.36
O  0.6870  0.3130  0.5103  1 O 1.36
O  0.7897  0.2103  0.4209  1 O 1.36
F  0.4538  0.5462  0.7061  4 Na 2.30-2.32
F  0.5462  0.4538  0.2061  4 Na 2.30-2.32

=====

Entry 7:
Below is a relaxed NaO3F12 crystal, with properties calculated at the PBE-GGA level.

Calculated values
For the electronic total energy, the calculation gives -83.16 eV/cell. The raw formation energy comes out at -2.930 eV/f.u.

Lattice parameters (Å, degrees): 9.5178 9.5178 9.5178 53.38 53.38 53.38
With the nearest neighbours (Å) after each atom.
Positions (direct):
Na  0.0000  0.0000  0.0000  6 F 2.30-2.35
Na  0.5000  0.5000  0.5000  6 F 2.30-2.35
O  0.0501  0.4160  0.5819  2 F 1.42
O  0.0819  0.9160  0.5501  2 F 1.42
O  0.4160  0.5819  0.0501  2 F 1.42
O  0.5501  0.0819  0.9160  2 F 1.42
O  0.5819  0.0501  0.4160  2 F 1.42
O  0.9160  0.5501  0.0819  2 F 1.42
F  0.0190  0.7794  0.6102  1 O 1.42
F  0.0432  0.0590  0.3837  1 O 1.42
F  0.0590  0.3837  0.0432  1 O 1.42
F  0.0880  0.8164  0.8519  2 F 2.19, 1 Na 2.35
F  0.1102  0.2794  0.5190  1 O 1.42
F  0.2794  0.5190  0.1102  1 O 1.42
F  0.3093  0.8650  0.9671  1 O 2.02
F  0.3164  0.5880  0.3519  2 F 2.19, 1 Na 2.35
F  0.3519  0.3164  0.5880  2 F 2.19, 1 Na 2.35
F  0.3650  0.8093  0.4671  1 O 2.02
F  0.3837  0.0432  0.0590  1 O 1.42
F  0.4671  0.3650  0.8093  1 O 2.02
F  0.5190  0.1102  0.2794  1 O 1.42
F  0.5432  0.8837  0.5590  1 O 1.42
F  0.5590  0.5432  0.8837  1 O 1.42
F  0.5880  0.3519  0.3164  2 F 2.19, 1 Na 2.35
F  0.6102  0.0190  0.7794  1 O 1.42
F  0.7794  0.6102  0.0190  1 O 1.42
F  0.8093  0.4671  0.3650  1 O 2.02
F  0.8164  0.8519  0.0880  2 F 2.19, 1 Na 2.35
F  0.8519  0.0880  0.8164  2 F 2.19, 1 Na 2.35
F  0.8650  0.9671  0.3093  1 O 2.02
F  0.8837  0.5590  0.5432  1 O 1.42
F  0.9671  0.3093  0.8650  1 O 2.02

=====

Entry 8:
Below is a relaxed NaOF3 crystal, with properties calculated at the PBE-GGA level.

Calculated values
As for the energy above the lowest structure with this stoichiometry: 0.4568 eV/atom. For the electronic total energy, the calculation gives -13.38 eV/cell. The raw formation energy comes out at -1.493 eV/f.u.

Lattice parameters (Å, degrees): 4.3139 4.3139 4.3139 90.00 90.00 90.00
With the nearest neighbours (Å) after each atom.
Positions (direct):
Na  0.0000  0.0000  0.0000  6 F 2.16
O  0.5000  0.5000  0.5000  12 F 3.05
F  0.0000  0.0000  0.5000  2 Na 2.16
F  0.0000  0.5000  0.0000  2 Na 2.16
F  0.5000  0.0000  0.0000  2 Na 2.16

=====

Entry 9:
Below is a relaxed NaOsO2F crystal, with properties calculated at the PBE-GGA level.

Calculated values
For the electronic total energy, the calculation gives -20.88 eV/cell. The raw formation energy comes out at 3.454 eV/f.u.

Lattice parameters (Å, degrees): 4.0394 4.0394 3.7596 90.00 90.00 90.00
With the nearest neighbours (Å) after each atom.
Positions (direct):
Na  0.0000  0.0000  0.0000  2 F 1.88, 4 O 2.02
Os  0.5000  0.5000  0.5000  8 O 2.76, 4 F 2.86
O  0.0000  0.5000  0.0000  2 Na 2.02
O  0.5000  0.0000  0.0000  2 Na 2.02
F  0.0000  0.0000  0.5000  2 Na 1.88

=====

Entry 10:
Below is a relaxed NaOsO2F crystal, with properties calculated at the PBE-GGA level.

Calculated values
For the electronic total energy, the calculation gives -30.88 eV/cell. The raw formation energy comes out at -6.542 eV/f.u.

Lattice parameters (Å, degrees): 3.7580 3.7580 4.9933 90.00 90.00 90.00
With the nearest neighbours (Å) after each atom.
Positions (direct):
Na  0.0000  0.0000  0.0000  4 F 2.66
Os  0.5000  0.5000  0.5000  4 O 1.88
O  0.0000  0.5000  0.5000  2 Os 1.88
O  0.5000  0.0000  0.5000  2 Os 1.88
F  0.5000  0.5000  0.0000  2 Os 2.50, 4 Na 2.66

=====

Entry 11:
Below is a relaxed NaOsOF2 crystal, with properties calculated at the PBE-GGA level.

Calculated values
As for the energy above the lowest structure with this stoichiometry: 1.2669 eV/atom. For the electronic total energy, the calculation gives -21.24 eV/cell. The raw formation energy comes out at 0.011 eV/f.u.

Lattice parameters (Å, degrees): 3.8364 3.8364 4.3406 90.00 90.00 90.00
With the nearest neighbours (Å) after each atom.
Positions (direct):
Na  0.0000  0.0000  0.0000  4 F 1.92
Os  0.5000  0.5000  0.5000  4 O 2.71, 8 F 2.90
O  0.0000  0.0000  0.5000  2 Na 2.17
F  0.0000  0.5000  0.0000  2 Na 1.92
F  0.5000  0.0000  0.0000  2 Na 1.92

=====

Entry 12:
Below is a relaxed NaOsOF2 crystal, with properties calculated at the PBE-GGA level.

Calculated values
As for the energy above the lowest structure with this stoichiometry: 0.0000 eV/atom. For the electronic total energy, the calculation gives -27.57 eV/cell. The raw formation energy comes out at -6.324 eV/f.u.

Lattice parameters (Å, degrees): 4.4058 4.4058 3.7441 90.00 90.00 90.00
With the nearest neighbours (Å) after each atom.
Positions (direct):
Na  0.0000  0.0000  0.0000  8 F 2.89, 4 O 3.12
Os  0.5000  0.5000  0.5000  2 O 1.87
O  0.5000  0.5000  0.0000  2 Os 1.87
F  0.0000  0.5000  0.5000  2 Os 2.20
F  0.5000  0.0000  0.5000  2 Os 2.20